Run w
Material: Cs2MgHgCl6
Method: DFT, GGA-PBE
State: relaxed

POSCAR file:
```
Cs2MgHgCl6
1.0
7.594 0.000 0.000
0.000 7.594 0.000
3.797 3.797 5.230
Cs Mg Hg Cl
2 1 1 6
direct
0.750 0.250 0.500 Cs
0.250 0.750 0.500 Cs
0.500 0.500 0.000 Mg
0.000 0.000 0.000 Hg
0.237 0.237 0.527 Cl
0.763 0.763 0.473 Cl
0.270 0.270 0.000 Cl
0.730 0.730 0.000 Cl
0.730 0.270 0.000 Cl
0.270 0.730 0.000 Cl
```

Total moment, Bohr magnetons per cell: 0.0

=====

Run x
Material: Cs2MgHgCl6
Method: DFT, GGA-PBE
State: relaxed

POSCAR file:
```
Cs2MgHgCl6
1.0
-1.591 3.123 -6.628
3.596 -2.271 -6.174
-8.157 -8.367 -6.224
Cs Mg Hg Cl
4 2 2 12
direct
0.875 0.875 0.375 Cs
0.125 0.125 0.625 Cs
0.710 0.710 0.870 Cs
0.290 0.290 0.130 Cs
0.000 0.000 0.000 Mg
0.500 0.500 0.500 Mg
0.589 0.589 0.234 Hg
0.411 0.411 0.766 Hg
0.854 0.384 0.379 Cl
0.384 0.854 0.379 Cl
0.384 0.384 0.379 Cl
0.146 0.616 0.621 Cl
0.616 0.146 0.621 Cl
0.616 0.616 0.621 Cl
0.721 0.199 0.882 Cl
0.199 0.721 0.882 Cl
0.199 0.199 0.882 Cl
0.279 0.801 0.118 Cl
0.801 0.279 0.118 Cl
0.801 0.801 0.118 Cl
```

Total moment, Bohr magnetons per cell: 0.0

=====

Top of the stability list: run x, leading by 16 meV/atom.

=====

Run w
Material: CsHgP2Cl
Method: DFT, GGA-PBE
State: relaxed

POSCAR file:
```
CsHgP2Cl
1.0
-0.484 -3.584 3.531
2.852 -3.117 -2.774
5.401 2.251 3.024
Cs P Hg Cl
1 2 1 1
direct
0.500 0.500 0.500 Cs
0.000 0.500 0.000 P
0.500 0.000 0.000 P
0.000 0.000 0.000 Hg
0.000 0.000 0.500 Cl
```

Total moment, Bohr magnetons per cell: 1.8

=====

Run x
Material: CsHgP2Cl
Method: DFT, GGA-PBE
State: relaxed

POSCAR file:
```
CsHgP2Cl
1.0
-4.121 -0.623 6.175
-3.667 -5.735 -3.027
4.281 -4.031 2.450
Cs P Hg Cl
1 2 1 1
direct
0.000 0.000 0.000 Cs
0.000 0.500 0.000 P
0.500 0.000 0.000 P
0.500 0.500 0.500 Hg
0.000 0.000 0.500 Cl
```

Total moment, Bohr magnetons per cell: 6.1

=====

Top of the stability list: run w, leading by 641 meV/atom.

=====

Run w
Material: Cs2RbHgCl
Method: DFT, GGA-PBE
State: relaxed

POSCAR file:
```
Cs2RbHgCl
1.0
6.649 0.000 0.000
0.000 6.649 0.000
0.000 0.000 7.773
Cs Hg Rb Cl
2 1 1 1
direct
0.000 0.500 0.000 Cs
0.500 0.000 0.000 Cs
0.000 0.000 0.500 Hg
0.500 0.500 0.500 Rb
0.000 0.000 0.000 Cl
```

Total moment, Bohr magnetons per cell: 0.0

=====

Run x
Material: Cs2RbHgCl
Method: DFT, GGA-PBE
State: relaxed

POSCAR file:
```
Cs2RbHgCl
1.0
-0.760 4.168 5.366
1.831 -4.745 3.945
6.510 1.992 -0.625
Cs Hg Rb Cl
2 1 1 1
direct
0.000 0.000 0.500 Cs
0.500 0.000 0.000 Cs
0.500 0.500 0.500 Hg
0.000 0.500 0.000 Rb
0.000 0.000 0.000 Cl
```

Total moment, Bohr magnetons per cell: 0.0

=====

Top of the stability list: run x, leading by 63 meV/atom.